A relaxed BeVCr2 crystal, computed with PBE.

Properties
SG = P4/mmm (123)
Total magnetic moment = 0.00 μB per atom
Energy = -7.982 eV/atom

```
4
Lattice="-3.3201 0.3428 1.9893 0.0727 -3.3235 0.6941 1.7628 0.6303 2.8334" Properties=species:S:1:pos:R:3 pbc="T T T"
Cr 0.0363 -1.6617 0.3470
V -1.6601 0.1714 0.9947
Be -0.7423 -1.1752 2.7584
Cr 0.8814 0.3151 1.4167
```